Ba6Ga2Ag | PBE | relaxed

Uncorrected energy, eV/f.u.: -22.1
V, Å³ per atom: 43.7
DFT formation energy, eV per atom: -0.18

Unit cell a=10.1059 b=10.1059 c=10.1059 alpha=103.49 beta=110.26 gamma=114.87
With the nearest neighbours (Å) after each atom.
Atoms (fractional coordinates):
Ba1 0.5228 0.7006 0.8222  2 Ga 3.43
Ba2 0.4772 0.2994 0.1778  2 Ga 3.43
Ba3 0.1217 0.2994 0.8222  2 Ga 3.43
Ba4 0.8783 0.7006 0.1778  2 Ga 3.43
Ba5 0.7796 0.7909 0.5705  1 Ga 3.26
Ba6 0.2204 0.2091 0.4295  1 Ga 3.26
Ba7 0.2204 0.7909 0.0113  1 Ga 3.26
Ba8 0.7796 0.2091 0.9887  1 Ga 3.26
Ba9 0.7255 0.3935 0.6680  3 Ga 3.48-3.49, 1 Ag 3.65
Ba10 0.2745 0.6065 0.3320  3 Ga 3.48-3.49, 1 Ag 3.65
Ba11 0.2745 0.9425 0.6680  3 Ga 3.48-3.49, 1 Ag 3.65
Ba12 0.7255 0.0575 0.3320  3 Ga 3.48-3.49, 1 Ag 3.65
Ga1 0.5000 0.3661 0.8661  1 Ga 3.35, 6 Ba 3.43-3.49
Ga2 0.5000 0.6339 0.1339  1 Ga 3.35, 6 Ba 3.43-3.49
Ga3 0.6116 0.0000 0.6116  1 Ga 2.58
Ga4 0.3884 0.0000 0.3884  1 Ga 2.58
Ag1 0.0000 0.5000 0.5000  4 Ba 3.65
Ag2 0.0000 0.0000 0.0000  8 Ba 3.65-3.85